[1]
Computed, not measured: crystalline La3NbO7 at its relaxed geometry at the PBE level of DFT.

Structure (POSCAR):
```
La3NbO7
1.0
-2.785 -6.190 0.461
4.470 0.080 -5.129
5.704 -2.198 4.937
La Nb O
6 2 14
direct
0.471 0.471 0.500
0.529 0.529 0.000
0.533 0.998 0.258
0.467 0.002 0.758
0.998 0.533 0.742
0.002 0.467 0.242
0.999 0.999 0.500
0.001 0.001 0.000
0.702 0.952 0.538
0.298 0.048 0.038
0.952 0.702 0.462
0.048 0.298 0.962
0.080 0.322 0.520
0.920 0.678 0.020
0.322 0.080 0.480
0.678 0.920 0.980
0.372 0.628 0.250
0.628 0.372 0.750
0.637 0.363 0.250
0.363 0.637 0.750
0.945 0.055 0.250
0.055 0.945 0.750
```

Uncorrected energy, eV per atom: -8.70
Space group: C222_1, No. 20
ΔE_f (raw), meV/atom: -3281
Total magnetic moment, μB per formula unit: 0.00

---

[2]
Computed, not measured: crystalline LaNb3O9 at its relaxed geometry at the PBE level of DFT.

Structure (POSCAR):
```
LaNb3O9
1.0
5.511 0.000 -0.193
0.000 7.680 0.000
0.016 0.000 8.363
La Nb O
2 6 18
direct
0.034 0.250 0.436
0.966 0.750 0.564
0.000 0.000 0.000
0.000 0.500 0.000
0.478 0.492 0.700
0.478 0.008 0.700
0.522 0.992 0.300
0.522 0.508 0.300
0.081 0.250 0.985
0.156 0.946 0.788
0.156 0.554 0.788
0.266 0.963 0.466
0.266 0.537 0.466
0.356 0.250 0.662
0.317 0.953 0.122
0.317 0.547 0.122
0.444 0.250 0.312
0.556 0.750 0.688
0.683 0.047 0.878
0.683 0.453 0.878
0.644 0.750 0.338
0.734 0.037 0.534
0.734 0.463 0.534
0.844 0.054 0.212
0.844 0.446 0.212
0.919 0.750 0.015
```

Uncorrected energy, eV per atom: -8.93
Space group: P2_1/m, No. 11
ΔE_f (raw), meV/atom: -2791
Total magnetic moment, μB per formula unit: 0.00

---

[3]
Computed, not measured: crystalline La3NbO at its relaxed geometry at the PBE level of DFT.

Structure (POSCAR):
```
La3NbO
1.0
5.020 0.000 0.000
0.000 5.020 0.000
0.000 0.000 5.020
Nb O La
1 1 3
direct
0.500 0.500 0.500
0.000 0.000 0.000
0.000 0.500 0.000
0.000 0.000 0.500
0.500 0.000 0.000
```

Uncorrected energy, eV per atom: -6.85
Space group: Pm-3m, No. 221
ΔE_f (raw), meV/atom: -889
Total magnetic moment, μB per formula unit: 0.53

---

[4]
Computed, not measured: crystalline La3NbO7 at its relaxed geometry at the PBE level of DFT.

Structure (POSCAR):
```
La3NbO7
1.0
-0.581 -2.538 7.336
-3.850 -6.342 -2.499
9.700 -5.449 -1.116
La Nb O
12 4 28
direct
0.044 0.751 0.477
0.285 0.491 0.750
0.715 0.509 0.250
0.456 0.251 0.023
0.785 0.009 0.250
0.544 0.749 0.523
0.544 0.749 0.977
0.044 0.751 0.023
0.956 0.249 0.977
0.956 0.249 0.523
0.456 0.251 0.477
0.215 0.991 0.750
0.748 0.993 0.750
0.252 0.007 0.250
0.752 0.493 0.750
0.248 0.507 0.250
0.228 0.245 0.618
0.549 0.468 0.628
0.592 0.039 0.616
0.408 0.961 0.384
0.049 0.032 0.372
0.908 0.539 0.884
0.320 0.247 0.250
0.772 0.755 0.382
0.951 0.968 0.628
0.272 0.745 0.882
0.728 0.255 0.118
0.228 0.245 0.882
0.820 0.253 0.750
0.092 0.461 0.116
0.728 0.255 0.382
0.049 0.032 0.128
0.951 0.968 0.872
0.680 0.753 0.750
0.272 0.745 0.618
0.180 0.747 0.250
0.451 0.532 0.372
0.908 0.539 0.616
0.092 0.461 0.384
0.592 0.039 0.884
0.451 0.532 0.128
0.408 0.961 0.116
0.549 0.468 0.872
0.772 0.755 0.118
```

Uncorrected energy, eV per atom: -8.70
Space group: Pnma, No. 62
ΔE_f (raw), meV/atom: -3285
Total magnetic moment, μB per formula unit: 0.00

---

[5]
Computed, not measured: crystalline LaNb7O12 at its relaxed geometry at the PBE level of DFT.

Structure (POSCAR):
```
LaNb7O12
1.0
-0.328 8.425 3.979
-7.751 2.756 -6.473
-9.117 -2.860 5.302
La Nb O
4 28 48
direct
0.518 0.953 0.336
0.018 0.547 0.664
0.482 0.047 0.664
0.982 0.453 0.336
0.881 0.816 0.420
0.381 0.684 0.580
0.119 0.184 0.580
0.619 0.316 0.420
0.884 0.093 0.280
0.384 0.407 0.720
0.116 0.907 0.720
0.616 0.593 0.280
0.874 0.883 0.156
0.374 0.617 0.844
0.126 0.117 0.844
0.626 0.383 0.156
0.866 0.032 0.588
0.366 0.468 0.412
0.134 0.968 0.412
0.634 0.532 0.588
0.127 0.039 0.149
0.627 0.461 0.851
0.873 0.961 0.851
0.373 0.539 0.149
0.876 0.232 0.717
0.376 0.268 0.283
0.124 0.768 0.283
0.624 0.732 0.717
0.886 0.661 0.000
0.386 0.839 0.000
0.114 0.339 0.000
0.614 0.161 0.000
0.772 0.421 0.719
0.272 0.079 0.281
0.228 0.579 0.281
0.728 0.921 0.719
0.736 0.046 0.152
0.236 0.454 0.848
0.264 0.954 0.848
0.764 0.546 0.152
0.730 0.187 0.586
0.230 0.313 0.414
0.270 0.813 0.414
0.770 0.687 0.586
0.769 0.280 0.292
0.269 0.220 0.708
0.231 0.720 0.708
0.731 0.780 0.292
0.748 0.981 0.424
0.248 0.519 0.576
0.252 0.019 0.576
0.752 0.481 0.424
0.258 0.878 0.136
0.758 0.622 0.864
0.742 0.122 0.864
0.242 0.378 0.136
0.767 0.817 0.005
0.267 0.683 0.995
0.233 0.183 0.995
0.733 0.317 0.005
0.000 0.500 0.000
0.500 0.000 0.000
0.999 0.862 0.569
0.499 0.638 0.431
0.001 0.138 0.431
0.501 0.362 0.569
0.000 0.000 0.000
0.500 0.500 0.000
0.991 0.706 0.152
0.491 0.794 0.848
0.009 0.294 0.848
0.509 0.206 0.152
0.995 0.785 0.861
0.495 0.715 0.139
0.005 0.215 0.139
0.505 0.285 0.861
0.002 0.643 0.430
0.502 0.857 0.570
0.998 0.357 0.570
0.498 0.143 0.430
```

Uncorrected energy, eV per atom: -9.22
Space group: P2_1/c, No. 14
ΔE_f (raw), meV/atom: -2474
Total magnetic moment, μB per formula unit: 0.00

---

[6]
Computed, not measured: crystalline LaNbO2 at its relaxed geometry at the PBE level of DFT.

Structure (POSCAR):
```
LaNbO2
1.0
2.025 3.011 5.173
5.091 1.668 3.350
3.408 4.869 2.146
Nb O La
1 2 1
direct
0.000 0.000 0.000
0.890 0.890 0.890
0.110 0.110 0.110
0.500 0.500 0.500
```

Uncorrected energy, eV per atom: -8.43
Space group: R-3m, No. 166
ΔE_f (raw), meV/atom: -2202
Total magnetic moment, μB per formula unit: 0.00